1.
! PBE V2BiAsC, optimized geometry; values from VASP
&SYSTEM
  ibrav = 0, nat = 5, ntyp = 4
/
ATOMIC_SPECIES
V 50.94 V.upf
As 74.92 As.upf
C 12.01 C.upf
Bi 208.98 Bi.upf
CELL_PARAMETERS angstrom
-3.277 3.650 -1.425
1.442 -0.704 -5.118
-3.670 -3.510 -0.551
ATOMIC_POSITIONS crystal
V 0.500 0.000 0.000
V 0.000 0.000 0.500
As 0.000 0.500 0.000
C 0.500 0.500 0.500
Bi 0.000 0.000 0.000
! DOS(E_F): 3.19 states/eV/atom
! Crystal system: tetragonal
! Energy of formation from the pure elements: 3.021 eV per atom

---

2.
! PBE Ca6Bi3As, optimized geometry; values from VASP
&SYSTEM
  ibrav = 0, nat = 20, ntyp = 3
/
ATOMIC_SPECIES
Bi 208.98 Bi.upf
As 74.92 As.upf
Ca 40.08 Ca.upf
CELL_PARAMETERS angstrom
7.751 0.000 0.082
0.000 8.302 0.000
0.026 0.000 11.000
ATOMIC_POSITIONS crystal
Bi 0.000 0.000 0.500
Bi 0.526 0.922 0.754
Bi 0.500 0.500 0.000
Bi 0.474 0.078 0.246
Bi 0.026 0.578 0.254
Bi 0.974 0.422 0.746
As 0.500 0.500 0.500
As 0.000 0.000 0.000
Ca 0.806 0.679 0.561
Ca 0.694 0.179 0.939
Ca 0.194 0.321 0.439
Ca 0.176 0.298 0.073
Ca 0.824 0.702 0.927
Ca 0.859 0.932 0.240
Ca 0.359 0.568 0.740
Ca 0.306 0.821 0.061
Ca 0.141 0.068 0.760
Ca 0.324 0.798 0.427
Ca 0.641 0.432 0.260
Ca 0.676 0.202 0.573
! Crystal system: monoclinic
! Energy of formation from the pure elements: -0.886 eV per atom

---

3.
! PBE CaBi2As2, optimized geometry; values from VASP
&SYSTEM
  ibrav = 0, nat = 5, ntyp = 3
/
ATOMIC_SPECIES
Bi 208.98 Bi.upf
As 74.92 As.upf
Ca 40.08 Ca.upf
CELL_PARAMETERS angstrom
-3.253 -1.248 2.812
1.194 -4.284 -0.520
3.609 -2.157 6.783
ATOMIC_POSITIONS crystal
Bi 0.750 0.250 0.500
Bi 0.250 0.750 0.500
As 0.584 0.584 0.832
As 0.416 0.416 0.168
Ca 0.000 0.000 0.000
! ΔE to the lowest computed polymorph: 9.0 kJ/mol of atoms
! DOS(E_F): 0.44 states/eV/atom
! Crystal system: tetragonal
! Energy of formation from the pure elements: -0.204 eV per atom

---

4.
! PBE Ca2BiAs, optimized geometry; values from VASP
&SYSTEM
  ibrav = 0, nat = 4, ntyp = 3
/
ATOMIC_SPECIES
Bi 208.98 Bi.upf
Ca 40.08 Ca.upf
As 74.92 As.upf
CELL_PARAMETERS angstrom
-4.246 -0.987 3.201
-4.887 -0.820 -2.167
-2.214 -4.933 0.111
ATOMIC_POSITIONS crystal
Bi 0.500 0.500 0.500
Ca 0.750 0.750 0.750
Ca 0.250 0.250 0.250
As 0.000 0.000 0.000
! DOS(E_F): 0.79 states/eV/atom
! Crystal system: cubic
! Energy of formation from the pure elements: -0.717 eV per atom

---

5.
! PBE Ca2BiAs, optimized geometry; values from VASP
&SYSTEM
  ibrav = 0, nat = 8, ntyp = 3
/
ATOMIC_SPECIES
Bi 208.98 Bi.upf
As 74.92 As.upf
Ca 40.08 Ca.upf
CELL_PARAMETERS angstrom
-3.396 2.522 -7.235
-7.641 -1.701 2.993
-5.747 3.559 -0.916
ATOMIC_POSITIONS crystal
Bi 0.750 0.250 0.500
Bi 0.000 0.000 0.000
As 0.250 0.750 0.500
As 0.500 0.500 0.000
Ca 0.875 0.837 0.750
Ca 0.375 0.413 0.750
Ca 0.163 0.625 0.250
Ca 0.587 0.125 0.250
! DOS(E_F): 0.10 states/eV/atom
! Crystal system: tetragonal
! Energy of formation from the pure elements: -0.687 eV per atom

---

6.
! PBE CaBi2As2, optimized geometry; values from VASP
&SYSTEM
  ibrav = 0, nat = 5, ntyp = 3
/
ATOMIC_SPECIES
Ca 40.08 Ca.upf
As 74.92 As.upf
Bi 208.98 Bi.upf
CELL_PARAMETERS angstrom
4.456 0.000 1.038
2.107 3.926 1.038
0.343 0.205 8.609
ATOMIC_POSITIONS crystal
Ca 0.000 0.000 0.000
As 0.402 0.402 0.793
As 0.598 0.598 0.207
Bi 0.216 0.216 0.352
Bi 0.784 0.784 0.648
! ΔE to the lowest computed polymorph: 0.0 kJ/mol of atoms
! DOS(E_F): 0.60 states/eV/atom
! Crystal system: trigonal
! Energy of formation from the pure elements: -0.296 eV per atom